(1)
Compound: AsC5
Source: the Alexandria database
Functional: PBE
Structure: optimized geometry

```
AsC5
1.0
1.290 3.527 0.010
-1.290 3.527 0.010
0.000 1.844 8.170
C As
5 1
Direct
0.958 0.958 0.492
0.348 0.348 0.146
0.554 0.554 0.493
0.777 0.777 0.416
0.304 0.304 0.310
0.892 0.892 0.976
```

Output
- E above lowest polymorph (eV/atom) = 0.0000
- energy of formation (eV/atom) = 0.874
- energy (eV per atom) = -7.588
- SG = Cm
- N(E_F) (states/eV/atom) = 0.359
- total magnetic moment (μB per formula unit) = 0.0

(2)
Compound: DySiAg2O4
Source: the Alexandria database
Functional: PBE
Structure: optimized geometry

```
DySiAg2O4
1.0
5.814 -0.564 -0.864
-2.987 5.020 0.864
-2.987 -1.230 4.943
O Ag Dy Si
4 2 1 1
Direct
0.647 0.398 0.462
0.353 0.815 0.751
0.935 0.538 0.185
0.065 0.249 0.602
0.000 0.000 0.000
0.500 0.750 0.250
0.500 0.250 0.750
0.000 0.500 0.500
```

Output
- energy (eV per atom) = -6.350
- SG = I-4
- formation energy without anion corrections (eV/atom) = -1.905
- N(E_F) (states/eV/atom) = 0.089
- total magnetic moment (μB per formula unit) = 0.0

(3)
Compound: Li2ZnCr
Source: the Alexandria database
Functional: PBE
Structure: optimized geometry

```
Li2ZnCr
1.0
9.540 -0.004 -0.003
9.191 2.555 -0.003
9.191 1.252 2.227
Li Cr Zn
2 1 1
Direct
0.499 0.499 0.499
0.001 0.001 0.001
0.750 0.750 0.750
0.250 0.250 0.250
```

Output
- E above lowest polymorph (eV/atom) = 0.0408
- energy of formation (eV/atom) = 0.232
- energy (eV per atom) = -3.449
- SG = R-3m
- N(E_F) (states/eV/atom) = 0.639
- total magnetic moment (μB per formula unit) = 0.8